A plane-wave DFT calculation with GGA-PBE was carried out for a geometry-optimized RbTl3Tc structure.

a = 6.161 Å, b = 6.161 Å, c = 6.161 Å
α = 90.00°, β = 90.00°, γ = 90.00°
Positions (direct):
Rb: 0.000 0.000 0.000
Tl: 0.000 0.000 0.500
Tl: 0.000 0.500 0.000
Tl: 0.500 0.000 0.000
Tc: 0.500 0.500 0.500

Calculated values
density of states at the Fermi level = 5.343 states/eV/cell
space group = Pm-3m
formation enthalpy at 0 K = 1.71 eV/atom
polymorph energy (0 for the lowest one) = 1555 meV per atom

A plane-wave DFT calculation with GGA-PBE was carried out for a geometry-optimized Ce2GdY structure.

a = 5.662 Å, b = 5.662 Å, c = 5.662 Å
α = 60.00°, β = 60.00°, γ = 60.00°
Positions (direct):
Ce: 0.250 0.250 0.250
Ce: 0.750 0.750 0.750
Gd: 0.000 0.000 0.000
Y: 0.500 0.500 0.500

Calculated values
density of states at the Fermi level = 17.002 states/eV/cell
space group = Fm-3m
formation enthalpy at 0 K = 0.24 eV/atom
polymorph energy (0 for the lowest one) = 130 meV per atom

A plane-wave DFT calculation with GGA-PBE was carried out for a geometry-optimized LaCe2ZrP4 structure.

a = 6.973 Å, b = 4.033 Å, c = 7.021 Å
α = 90.00°, β = 109.25°, γ = 90.00°
Positions (direct):
La: 0.000 0.000 0.000
Ce: 0.500 0.000 0.500
Ce: 0.500 0.500 0.000
Zr: 0.000 0.500 0.500
P: 0.239 0.000 0.732
P: 0.250 0.500 0.267
P: 0.750 0.500 0.733
P: 0.761 0.000 0.268

Calculated values
density of states at the Fermi level = 9.242 states/eV/cell
space group = P2/m
formation enthalpy at 0 K = -1.45 eV/atom

A plane-wave DFT calculation with GGA-PBE was carried out for a geometry-optimized Ag8SbAu5 structure.

a = 7.097 Å, b = 7.097 Å, c = 7.097 Å
α = 110.38°, β = 110.38°, γ = 107.66°
Positions (direct):
Ag: 0.114 0.684 0.781
Ag: 0.170 0.270 0.768
Ag: 0.316 0.097 0.430
Ag: 0.503 0.402 0.232
Ag: 0.598 0.830 0.100
Ag: 0.667 0.886 0.570
Ag: 0.730 0.497 0.900
Ag: 0.903 0.333 0.219
Sb: 0.000 0.000 0.000
Au: 0.221 0.630 0.174
Au: 0.370 0.544 0.591
Au: 0.456 0.047 0.826
Au: 0.750 0.250 0.500
Au: 0.953 0.779 0.409

Calculated values
E_form (uncorrected) = 78 meV/atom
density of states at the Fermi level = 1.826 states/eV/cell
space group = I-4

A plane-wave DFT calculation with GGA-PBE was carried out for a geometry-optimized La4ErN4 structure.

a = 6.388 Å, b = 6.388 Å, c = 9.176 Å
α = 118.93°, β = 118.93°, γ = 33.18°
Positions (direct):
La: 0.102 0.102 0.377
La: 0.293 0.293 0.186
La: 0.707 0.707 0.814
La: 0.898 0.898 0.623
Er: 0.500 0.500 0.000
N: 0.097 0.097 0.913
N: 0.313 0.313 0.713
N: 0.687 0.687 0.287
N: 0.903 0.903 0.087

Calculated values
E_form (uncorrected) = -1263 meV/atom
density of states at the Fermi level = 3.713 states/eV/cell
space group = C2/m

A plane-wave DFT calculation with GGA-PBE was carried out for a geometry-optimized Ba3HgBr2F6 structure.

a = 8.388 Å, b = 8.388 Å, c = 5.493 Å
α = 98.47°, β = 98.47°, γ = 59.62°
Positions (direct):
Ba: 0.000 0.000 0.000
Ba: 0.000 0.500 0.500
Ba: 0.500 0.000 0.500
Hg: 0.500 0.500 0.500
Br: 0.216 0.216 0.931
Br: 0.784 0.784 0.069
F: 0.148 0.701 0.691
F: 0.299 0.852 0.309
F: 0.355 0.355 0.406
F: 0.645 0.645 0.594
F: 0.701 0.148 0.691
F: 0.852 0.299 0.309

Calculated values
E_form (uncorrected) = -2700 meV/atom
density of states at the Fermi level = 0.000 states/eV/cell
space group = C2/m